[1]
A plane-wave DFT calculation with PBE was carried out for a relaxed SrSm2IrO8 crystal.

Values from the calculation:
- Space-group type: No. 65
- Raw formation energy: -24.261 eV per formula unit
- Total magnetization: 0.92 μB/f.u.
- DOS(E_F): 5.086 states/eV per cell

```
data_SrSm2IrO8
_chemical_formula_sum 'Sr1 Sm2 Ir1 O8'
_cell_length_a 5.1708
_cell_length_b 5.1708
_cell_length_c 7.1352
_cell_angle_alpha 90.00
_cell_angle_beta 90.00
_cell_angle_gamma 90.75
_space_group_name_H-M_alt 'P 1'
_space_group_IT_number 1
_space_group_name_Hall 'P 1'
loop_
_atom_site_label
_atom_site_type_symbol
_atom_site_fract_x
_atom_site_fract_y
_atom_site_fract_z
_atom_site_occupancy
Sr1 Sr 0.0000 0.0000 0.0000 1
Sm1 Sm 0.5000 0.5000 0.2466 1
Sm2 Sm 0.5000 0.5000 0.7534 1
Ir1 Ir 0.0000 0.0000 0.5000 1
O1 O 0.1832 0.1832 0.3097 1
O2 O 0.1832 0.1832 0.6903 1
O3 O 0.2591 0.7409 0.5000 1
O4 O 0.3195 0.6805 0.0000 1
O5 O 0.6805 0.3195 0.0000 1
O6 O 0.7409 0.2591 0.5000 1
O7 O 0.8168 0.8168 0.3097 1
O8 O 0.8168 0.8168 0.6903 1
```

***

[2]
A plane-wave DFT calculation with PBE was carried out for a relaxed MgCdW2 crystal.

Values from the calculation:
- Space-group type: No. 119
- Total magnetization: 0.00 μB/f.u.
- DOS(E_F): 1.697 states/eV per cell
- DFT formation energy: 557 meV per atom

```
data_MgCdW2
_chemical_formula_sum 'Mg1 Cd1 W2'
_cell_length_a 4.6179
_cell_length_b 4.6179
_cell_length_c 4.6179
_cell_angle_alpha 120.14
_cell_angle_beta 120.14
_cell_angle_gamma 89.75
_space_group_name_H-M_alt 'P 1'
_space_group_IT_number 1
_space_group_name_Hall 'P 1'
loop_
_atom_site_label
_atom_site_type_symbol
_atom_site_fract_x
_atom_site_fract_y
_atom_site_fract_z
_atom_site_occupancy
Mg1 Mg 0.0000 0.0000 0.0000 1
Cd1 Cd 0.7500 0.2500 0.5000 1
W1 W 0.2500 0.7500 0.5000 1
W2 W 0.5000 0.5000 0.0000 1
```

***

[3]
A plane-wave DFT calculation with PBE was carried out for a relaxed Ba2PrCdSe5 crystal.

Values from the calculation:
- Space-group type: No. 36
- Raw formation energy: -13.600 eV per formula unit
- Total magnetization: 0.00 μB/f.u.
- DOS(E_F): 15.352 states/eV per cell

```
data_Ba2PrCdSe5
_chemical_formula_sum 'Ba4 Pr2 Cd2 Se10'
_cell_length_a 9.8326
_cell_length_b 9.8326
_cell_length_c 13.3373
_cell_angle_alpha 90.00
_cell_angle_beta 90.00
_cell_angle_gamma 153.99
_space_group_name_H-M_alt 'P 1'
_space_group_IT_number 1
_space_group_name_Hall 'P 1'
loop_
_atom_site_label
_atom_site_type_symbol
_atom_site_fract_x
_atom_site_fract_y
_atom_site_fract_z
_atom_site_occupancy
Ba1 Ba 0.1137 0.8863 0.5000 1
Ba2 Ba 0.1280 0.8720 0.1298 1
Ba3 Ba 0.8720 0.1280 0.6298 1
Ba4 Ba 0.8863 0.1137 0.0000 1
Pr1 Pr 0.2082 0.7918 0.8275 1
Pr2 Pr 0.7918 0.2082 0.3275 1
Cd1 Cd 0.4508 0.5492 0.2607 1
Cd2 Cd 0.5492 0.4508 0.7607 1
Se1 Se 0.0505 0.9495 0.8721 1
Se2 Se 0.2912 0.7088 0.4786 1
Se3 Se 0.3120 0.6880 0.1767 1
Se4 Se 0.3595 0.6405 0.8188 1
Se5 Se 0.4953 0.5047 0.5808 1
Se6 Se 0.5047 0.4953 0.0808 1
Se7 Se 0.6405 0.3595 0.3188 1
Se8 Se 0.6880 0.3120 0.6767 1
Se9 Se 0.7088 0.2912 0.9786 1
Se10 Se 0.9495 0.0505 0.3721 1
```

***

[4]
A plane-wave DFT calculation with PBE was carried out for a relaxed PPbCl2 crystal.

Values from the calculation:
- Space-group type: No. 166
- Raw formation energy: 0.871 eV per formula unit
- Total magnetization: 0.00 μB/f.u.
- DOS(E_F): 2.131 states/eV per cell

```
data_PPbCl2
_chemical_formula_sum 'P1 Pb1 Cl2'
_cell_length_a 9.9791
_cell_length_b 9.9791
_cell_length_c 9.9791
_cell_angle_alpha 19.34
_cell_angle_beta 19.34
_cell_angle_gamma 19.34
_space_group_name_H-M_alt 'P 1'
_space_group_IT_number 1
_space_group_name_Hall 'P 1'
loop_
_atom_site_label
_atom_site_type_symbol
_atom_site_fract_x
_atom_site_fract_y
_atom_site_fract_z
_atom_site_occupancy
P1 P 0.0000 0.0000 0.0000 1
Pb1 Pb 0.5000 0.5000 0.5000 1
Cl1 Cl 0.4035 0.4035 0.4035 1
Cl2 Cl 0.5965 0.5965 0.5965 1
```

***

> Which of these has the highest total magnetization?

SrSm2IrO8

***

Copy entry 1 word for word.
A plane-wave DFT calculation with PBE was carried out for a relaxed SrSm2IrO8 crystal.

Values from the calculation:
- Space-group type: No. 65
- Raw formation energy: -24.261 eV per formula unit
- Total magnetization: 0.92 μB/f.u.
- DOS(E_F): 5.086 states/eV per cell

```
data_SrSm2IrO8
_chemical_formula_sum 'Sr1 Sm2 Ir1 O8'
_cell_length_a 5.1708
_cell_length_b 5.1708
_cell_length_c 7.1352
_cell_angle_alpha 90.00
_cell_angle_beta 90.00
_cell_angle_gamma 90.75
_space_group_name_H-M_alt 'P 1'
_space_group_IT_number 1
_space_group_name_Hall 'P 1'
loop_
_atom_site_label
_atom_site_type_symbol
_atom_site_fract_x
_atom_site_fract_y
_atom_site_fract_z
_atom_site_occupancy
Sr1 Sr 0.0000 0.0000 0.0000 1
Sm1 Sm 0.5000 0.5000 0.2466 1
Sm2 Sm 0.5000 0.5000 0.7534 1
Ir1 Ir 0.0000 0.0000 0.5000 1
O1 O 0.1832 0.1832 0.3097 1
O2 O 0.1832 0.1832 0.6903 1
O3 O 0.2591 0.7409 0.5000 1
O4 O 0.3195 0.6805 0.0000 1
O5 O 0.6805 0.3195 0.0000 1
O6 O 0.7409 0.2591 0.5000 1
O7 O 0.8168 0.8168 0.3097 1
O8 O 0.8168 0.8168 0.6903 1
```

***

> Which of these has the lowest DOS(E_F)?

MgCdW2